# 1
{"formula": "LaPr2Cu4Si4", "functional": "PBE-GGA", "state": "relaxed", "magnetic_moment_mub_per_fu": 0.0, "space_group": "No. 71", "dft_energy_ev_per_atom": -5.25, "lattice_angstrom": [[-2.091, 2.106, 11.890], [2.091, -2.106, 11.890], [2.091, 2.106, -11.890]], "species": ["Si", "Si", "Si", "Si", "Cu", "Cu", "Cu", "Cu", "Pr", "Pr", "La"], "frac_coords": [[0.551, 0.551, 0.000], [0.303, 0.803, 0.500], [0.697, 0.197, 0.500], [0.449, 0.449, 0.000], [0.598, 0.098, 0.500], [0.750, 0.750, 0.000], [0.250, 0.250, 0.000], [0.402, 0.902, 0.500], [0.152, 0.652, 0.500], [0.848, 0.348, 0.500], [0.000, 0.000, 0.000]]}

---

# 2
{"formula": "LuInFeNi", "functional": "PBE-GGA", "state": "relaxed", "magnetic_moment_mub_per_fu": 2.0, "polymorph_energy_mev_per_atom": 212, "space_group": "No. 216", "lattice_angstrom": [[0.000, 3.220, 3.220], [3.220, 0.000, 3.220], [3.220, 3.220, 0.000]], "species": ["Fe", "Ni", "In", "Lu"], "frac_coords": [[0.750, 0.750, 0.750], [0.250, 0.250, 0.250], [0.000, 0.000, 0.000], [0.500, 0.500, 0.500]]}

---

# 3
{"formula": "CsNdSeO", "functional": "PBE-GGA", "state": "relaxed", "magnetic_moment_mub_per_fu": 0.0, "polymorph_energy_mev_per_atom": 19, "space_group": "No. 14", "lattice_angstrom": [[8.503, 0.000, -0.183], [0.000, 7.781, 0.000], [-1.209, 0.000, 6.861]], "species": ["Cs", "Cs", "Cs", "Cs", "Se", "Se", "Se", "Se", "O", "O", "O", "O", "Nd", "Nd", "Nd", "Nd"], "frac_coords": [[0.913, 0.217, 0.520], [0.087, 0.717, 0.980], [0.087, 0.783, 0.480], [0.913, 0.283, 0.020], [0.258, 0.091, 0.867], [0.742, 0.909, 0.133], [0.742, 0.591, 0.633], [0.258, 0.409, 0.367], [0.414, 0.853, 0.386], [0.586, 0.353, 0.114], [0.414, 0.647, 0.886], [0.586, 0.147, 0.614], [0.477, 0.371, 0.779], [0.477, 0.129, 0.279], [0.523, 0.629, 0.221], [0.523, 0.871, 0.721]]}

---

# 4
{"formula": "Dy2YIn3PtAu2", "functional": "PBE-GGA", "state": "relaxed", "magnetic_moment_mub_per_fu": 0.0, "space_group": "No. 38", "dft_energy_ev_per_atom": -4.89, "lattice_angstrom": [[3.954, 0.000, 0.000], [0.000, 6.693, 3.862], [0.000, -6.693, 3.862]], "species": ["Dy", "Dy", "In", "In", "In", "Au", "Au", "Y", "Pt"], "frac_coords": [[0.000, 0.599, 0.000], [0.000, 0.000, 0.599], [0.500, 0.744, 0.744], [0.500, 0.256, 0.000], [0.500, 0.000, 0.256], [0.500, 0.333, 0.667], [0.500, 0.667, 0.333], [0.000, 0.401, 0.401], [0.000, 0.000, 0.000]]}

---

# 5
{"formula": "LaTbBe2Ge2", "functional": "PBE-GGA", "state": "relaxed", "magnetic_moment_mub_per_fu": 0.0, "space_group": "No. 164", "dft_energy_ev_per_atom": -5.02, "lattice_angstrom": [[-3.114, 1.001, -2.273], [0.474, -3.775, 1.178], [-4.573, 1.601, 6.969]], "species": ["Be", "Be", "Tb", "Ge", "Ge", "La"], "frac_coords": [[0.333, 0.667, 0.738], [0.667, 0.333, 0.262], [0.000, 0.000, 0.500], [0.333, 0.667, 0.263], [0.667, 0.333, 0.737], [0.000, 0.000, 0.000]]}

---

# 6
{"formula": "AlTcBi2", "functional": "PBE-GGA", "state": "relaxed", "magnetic_moment_mub_per_fu": 0.0, "space_group": "No. 216", "dft_energy_ev_per_atom": -4.85, "lattice_angstrom": [[0.000, 3.524, 3.524], [3.524, 0.000, 3.524], [3.524, 3.524, 0.000]], "species": ["Bi", "Bi", "Tc", "Al"], "frac_coords": [[0.500, 0.500, 0.500], [0.250, 0.250, 0.250], [0.000, 0.000, 0.000], [0.750, 0.750, 0.750]]}

---

# 7
{"formula": "PrHoU", "functional": "PBE-GGA", "state": "relaxed", "magnetic_moment_mub_per_fu": 4.3, "polymorph_energy_mev_per_atom": 0, "ef_ev_per_atom": 1.26, "space_group": "No. 216", "lattice_angstrom": [[0.000, 3.669, 3.669], [3.669, 0.000, 3.669], [3.669, 3.669, 0.000]], "species": ["Pr", "Ho", "U"], "frac_coords": [[0.000, 0.000, 0.000], [0.250, 0.250, 0.250], [0.750, 0.750, 0.750]]}

---

# 8
{"formula": "TbAs", "functional": "PBE-GGA", "state": "relaxed", "magnetic_moment_mub_per_fu": 0.0, "space_group": "No. 216", "dft_energy_ev_per_atom": -5.64, "lattice_angstrom": [[-1.883, -3.940, 1.403], [1.086, -1.725, 4.108], [-3.095, 0.015, 3.384]], "species": ["Tb", "As"], "frac_coords": [[0.250, 0.250, 0.250], [0.000, 0.000, 0.000]]}

---

# 9
{"formula": "SrAcSm", "functional": "PBE-GGA", "state": "relaxed", "magnetic_moment_mub_per_fu": 0.2, "polymorph_energy_mev_per_atom": 0, "space_group": "No. 216", "lattice_angstrom": [[0.000, 4.250, 4.250], [4.250, 0.000, 4.250], [4.250, 4.250, 0.000]], "species": ["Sr", "Sm", "Ac"], "frac_coords": [[0.750, 0.750, 0.750], [0.000, 0.000, 0.000], [0.250, 0.250, 0.250]]}

---

# 10
{"formula": "NdNi2Au2", "functional": "PBE-GGA", "state": "relaxed", "magnetic_moment_mub_per_fu": 0.0, "ef_ev_per_atom": -0.31, "space_group": "No. 129", "lattice_angstrom": [[-2.307, 3.198, -1.088], [0.764, -0.790, -3.940], [-8.992, -6.628, -0.415]], "species": ["Nd", "Nd", "Ni", "Ni", "Ni", "Ni", "Au", "Au", "Au", "Au"], "frac_coords": [[0.500, 0.000, 0.754], [0.000, 0.500, 0.246], [0.000, 0.500, 0.644], [0.500, 0.000, 0.356], [0.000, 0.000, 0.000], [0.500, 0.500, 0.000], [0.000, 0.500, 0.864], [0.500, 0.500, 0.500], [0.000, 0.000, 0.500], [0.500, 0.000, 0.136]]}

---

# 11
{"formula": "DyAlCl6", "functional": "PBE-GGA", "state": "relaxed", "magnetic_moment_mub_per_fu": 0.0, "space_group": "No. 5", "dft_energy_ev_per_atom": -4.30, "lattice_angstrom": [[1.173, 4.519, -4.458], [-3.004, -5.471, -1.646], [-4.687, 2.871, 3.236]], "species": ["Cl", "Cl", "Cl", "Cl", "Cl", "Cl", "Dy", "Al"], "frac_coords": [[0.202, 0.238, 0.231], [0.762, 0.798, 0.769], [0.916, 0.541, 0.230], [0.050, 0.389, 0.773], [0.459, 0.084, 0.770], [0.611, 0.950, 0.227], [0.166, 0.834, 0.000], [0.834, 0.166, 0.000]]}

---

# 12
{"formula": "LaCdO3", "functional": "PBE-GGA", "state": "relaxed", "magnetic_moment_mub_per_fu": 1.0, "space_group": "No. 148", "dft_energy_ev_per_atom": -6.04, "lattice_angstrom": [[-2.965, 5.136, 0.000], [2.965, 5.136, 0.000], [0.000, 3.424, -5.065]], "species": ["La", "La", "O", "O", "O", "O", "O", "O", "Cd", "Cd"], "frac_coords": [[0.631, 0.631, 0.108], [0.369, 0.369, 0.892], [0.548, 0.230, 0.250], [0.972, 0.548, 0.250], [0.770, 0.028, 0.750], [0.230, 0.972, 0.250], [0.028, 0.452, 0.750], [0.452, 0.770, 0.750], [0.146, 0.146, 0.563], [0.854, 0.854, 0.437]]}

---

# 13
{"formula": "Li2AlZn2GaAg2", "functional": "PBE-GGA", "state": "relaxed", "space_group": "No. 115", "dft_energy_ev_per_atom": -2.55, "lattice_angstrom": [[-3.387, 2.624, -1.203], [-1.837, -3.390, -2.222], [-3.126, -1.677, 5.141]], "species": ["Ag", "Ag", "Al", "Zn", "Zn", "Ga", "Li", "Li"], "frac_coords": [[0.000, 0.500, 0.746], [0.500, 0.000, 0.254], [0.000, 0.000, 0.500], [0.500, 0.000, 0.749], [0.000, 0.500, 0.251], [0.500, 0.500, 0.000], [0.500, 0.500, 0.500], [0.000, 0.000, 0.000]]}

---

# 14
{"formula": "ScNiHg2", "functional": "PBE-GGA", "state": "relaxed", "magnetic_moment_mub_per_fu": 0.0, "ef_ev_per_atom": -0.13, "space_group": "No. 216", "lattice_angstrom": [[3.060, -1.220, 3.377], [3.199, 3.115, 1.522], [-0.387, 1.860, 4.318]], "species": ["Sc", "Hg", "Hg", "Ni"], "frac_coords": [[0.250, 0.250, 0.250], [0.750, 0.750, 0.750], [0.000, 0.000, 0.000], [0.500, 0.500, 0.500]]}

---

# 15
{"formula": "HoHg2", "functional": "PBE-GGA", "state": "relaxed", "magnetic_moment_mub_per_fu": 0.0, "ef_ev_per_atom": -0.18, "space_group": "No. 227", "lattice_angstrom": [[0.000, 4.167, 4.167], [4.167, 0.000, 4.167], [4.167, 4.167, 0.000]], "species": ["Hg", "Hg", "Hg", "Hg", "Ho", "Ho"], "frac_coords": [[0.625, 0.125, 0.625], [0.125, 0.625, 0.625], [0.625, 0.625, 0.125], [0.625, 0.625, 0.625], [0.000, 0.000, 0.000], [0.250, 0.250, 0.250]]}

---

# 16
{"formula": "ZnAu4", "functional": "PBE-GGA", "state": "relaxed", "ef_ev_per_atom": -0.10, "space_group": "No. 62", "lattice_angstrom": [[5.044, 0.000, 0.000], [0.000, 4.743, 0.000], [0.000, 0.000, 14.601]], "species": ["Au", "Au", "Au", "Au", "Au", "Au", "Au", "Au", "Au", "Au", "Au", "Au", "Au", "Au", "Au", "Au", "Zn", "Zn", "Zn", "Zn"], "frac_coords": [[0.167, 0.750, 0.498], [0.665, 0.750, 0.200], [0.833, 0.250, 0.502], [0.335, 0.250, 0.800], [0.835, 0.250, 0.700], [0.333, 0.250, 0.998], [0.165, 0.750, 0.300], [0.342, 0.250, 0.403], [0.829, 0.250, 0.303], [0.667, 0.750, 0.002], [0.329, 0.250, 0.197], [0.658, 0.750, 0.597], [0.671, 0.750, 0.803], [0.171, 0.750, 0.697], [0.158, 0.750, 0.903], [0.842, 0.250, 0.097], [0.834, 0.250, 0.899], [0.334, 0.250, 0.601], [0.166, 0.750, 0.101], [0.666, 0.750, 0.399]]}

---

# 17
{"formula": "ScCoCu4As2", "functional": "PBE-GGA", "state": "relaxed", "magnetic_moment_mub_per_fu": 0.0, "polymorph_energy_mev_per_atom": 21, "space_group": "No. 123", "lattice_angstrom": [[-2.962, -1.941, -2.308], [2.964, -1.277, -2.729], [0.830, -5.267, 3.366]], "species": ["Cu", "Cu", "Cu", "Cu", "As", "As", "Sc", "Co"], "frac_coords": [[0.500, 0.000, 0.282], [0.500, 0.000, 0.718], [0.000, 0.500, 0.718], [0.000, 0.500, 0.282], [0.500, 0.500, 0.500], [0.000, 0.000, 0.000], [0.500, 0.500, 0.000], [0.000, 0.000, 0.500]]}

---

# 18
{"formula": "Pr4Te2Pt", "functional": "PBE-GGA", "state": "relaxed", "magnetic_moment_mub_per_fu": 1.1, "space_group": "No. 164", "dft_energy_ev_per_atom": -5.33, "lattice_angstrom": [[4.360, 0.000, 0.000], [-2.180, 3.776, 0.000], [0.000, 0.000, 16.236]], "species": ["Pr", "Pr", "Pr", "Pr", "Te", "Te", "Pt"], "frac_coords": [[0.333, 0.667, 0.408], [0.333, 0.667, 0.903], [0.667, 0.333, 0.097], [0.667, 0.333, 0.592], [0.667, 0.333, 0.787], [0.333, 0.667, 0.213], [0.000, 0.000, 0.500]]}

---

# 19
{"formula": "ErThTc", "functional": "PBE-GGA", "state": "relaxed", "magnetic_moment_mub_per_fu": 0.0, "ef_ev_per_atom": 0.91, "space_group": "No. 216", "lattice_angstrom": [[0.531, 1.106, 4.672], [0.647, 4.597, 1.336], [-3.511, 2.353, 2.340]], "species": ["Th", "Tc", "Er"], "frac_coords": [[0.000, 0.000, 0.000], [0.750, 0.750, 0.750], [0.250, 0.250, 0.250]]}

---

# 20
{"formula": "HfTlAuSe3", "functional": "PBE-GGA", "state": "relaxed", "magnetic_moment_mub_per_fu": 0.0, "polymorph_energy_mev_per_atom": 0, "space_group": "No. 11", "lattice_angstrom": [[8.238, 0.000, 0.000], [0.000, 3.887, 0.000], [-3.606, 0.000, 9.489]], "species": ["Au", "Au", "Hf", "Hf", "Se", "Se", "Se", "Se", "Se", "Se", "Tl", "Tl"], "frac_coords": [[0.064, 0.250, 0.613], [0.936, 0.750, 0.387], [0.305, 0.750, 0.835], [0.695, 0.250, 0.165], [0.450, 0.750, 0.126], [0.280, 0.750, 0.568], [0.905, 0.750, 0.126], [0.095, 0.250, 0.874], [0.550, 0.250, 0.874], [0.720, 0.250, 0.432], [0.262, 0.250, 0.296], [0.738, 0.750, 0.704]]}